Record 1
A geometry-optimized Ti2Ni2Pd structure. Source: Alexandria, functional PBE.

Cell lengths 7.104, 7.104, 2.841 Å; angles 90.00, 90.00, 90.00 degrees
Space group P4/mbm (No. 127)
One atom of each set of equivalent atoms:
Ti1 0.159 0.341 0.000 [4 per cell]
Ni1 0.132 0.632 0.500 [4 per cell]
Pd1 0.000 0.000 0.000 [2 per cell]

Summary:
Mass density (g/cm3): 7.4
ΔE_f (kcal/mol of atoms): -6.154
Total moment (μB per cell): 0.00
Energy above the lowest structure with this stoichiometry (kJ per mole of atoms): 21.8


Record 2
A geometry-optimized ZrFeI2N structure. Source: Alexandria, functional PBE.

Cell lengths 5.424, 5.424, 3.494 Å; angles 90.00, 90.00, 90.00 degrees
Space group P4/mmm (No. 123)
One atom of each set of equivalent atoms:
Zr1 0.000 0.000 0.000 [1 per cell]
Fe1 0.500 0.500 0.500 [1 per cell]
I1 0.000 0.500 0.500 [2 per cell]
N1 0.500 0.500 0.000 [1 per cell]

Summary:
Mass density (g/cm3): 6.7
E_form (uncorrected) (meV/atom): 387
Total moment (μB per cell): 1.36
Energy above the lowest structure with this stoichiometry (kJ per mole of atoms): 1.6


Record 3
A geometry-optimized Re2PbCl structure. Source: Alexandria, functional PBE.

Cell lengths 3.0325, 3.0325, 26.1410 Å; angles 90.00, 90.00, 120.00 degrees
Space group R-3m (No. 166, hexagonal axes)
One atom of each set of equivalent atoms:
Re1 0.0000 0.0000 0.2456 [6 per cell]
Pb1 0.0000 0.0000 0.0000 [3 per cell]
Cl1 0.0000 0.0000 0.5000 [3 per cell]

Summary:
Mass density (g/cm3): 14.7
E_form (uncorrected) (meV/atom): 1213
Total moment (μB per cell): 0.00
Energy above the lowest structure with this stoichiometry (kJ per mole of atoms): 103.7


Record 4
A geometry-optimized As2RuBr structure. Source: Alexandria, functional PBE.

Cell lengths 3.002, 4.677, 10.990 Å; angles 90.00, 90.00, 90.00 degrees
Space group Immm (No. 71)
One atom of each set of equivalent atoms:
As1 0.000 0.000 0.190 [4 per cell]
Ru1 0.000 0.500 0.500 [2 per cell]
Br1 0.000 0.500 0.000 [2 per cell]

Summary:
Mass density (g/cm3): 7.1
E_form (uncorrected) (meV/atom): 323
Total moment (μB per cell): 0.00
Energy above the lowest structure with this stoichiometry (kJ per mole of atoms): 38.4


Record 5
A geometry-optimized Nd3CdAg structure. Source: Alexandria, functional PBE.

Cell lengths 5.360, 20.362, 5.362 Å; angles 90.00, 90.00, 90.00 degrees
Space group Cmcm (No. 63)
One atom of each set of equivalent atoms:
Nd1 0.000 0.061 0.250 [4 per cell]
Nd2 0.000 0.250 0.250 [4 per cell]
Nd3 0.000 0.436 0.250 [4 per cell]
Cd1 0.000 0.154 0.750 [4 per cell]
Ag1 0.000 0.343 0.750 [4 per cell]

Summary:
Mass density (g/cm3): 7.4
ΔE_f (kcal/mol of atoms): -4.893
Total moment (μB per cell): 1.27
Energy above the lowest structure with this stoichiometry (kJ per mole of atoms): 0.0


Record 6
A geometry-optimized LaLuSb2 structure. Source: Alexandria, functional PBE.

Cell lengths 4.4822, 4.4822, 21.7709 Å; angles 90.00, 90.00, 120.00 degrees
Space group R-3m (No. 166, hexagonal axes)
One atom of each set of equivalent atoms:
La1 0.0000 0.0000 0.0000 [3 per cell]
Lu1 0.0000 0.0000 0.5000 [3 per cell]
Sb1 0.0000 0.0000 0.2438 [6 per cell]

Summary:
Mass density (g/cm3): 7.3
E_form (uncorrected) (meV/atom): -1141
Total moment (μB per cell): 0.00


Record 7
A geometry-optimized CuRh2Cl structure. Source: Alexandria, functional PBE.

Cell lengths 2.9147, 2.9147, 23.9974 Å; angles 90.00, 90.00, 120.00 degrees
Space group R3m (No. 160, hexagonal axes)
One atom of each set of equivalent atoms:
Cu1 0.0000 0.0000 0.0000 [3 per cell]
Rh1 0.0000 0.0000 0.5019 [3 per cell]
Rh2 0.0000 0.0000 0.7509 [3 per cell]
Cl1 0.0000 0.0000 0.2545 [3 per cell]

Summary:
Mass density (g/cm3): 8.6
E_form (uncorrected) (meV/atom): 248
Total moment (μB per cell): 0.05
Energy above the lowest structure with this stoichiometry (kJ per mole of atoms): 6.5


Record 8
A geometry-optimized LiBeSn structure. Source: Alexandria, functional PBE.

Cell lengths 4.041, 4.052, 6.225 Å; angles 96.88, 96.43, 92.02 degrees
Space group P-1 (No. 2)
One atom of each set of equivalent atoms:
Li1 0.199 0.195 0.208 [2 per cell]
Be1 0.270 0.723 0.500 [2 per cell]
Sn1 0.290 0.290 0.767 [2 per cell]

Summary:
Mass density (g/cm3): 4.5
ΔE_f (kcal/mol of atoms): -0.260
Total moment (μB per cell): 0.00
Energy above the lowest structure with this stoichiometry (kJ per mole of atoms): 2.8


Record 9
A geometry-optimized Ac8Y structure. Source: Alexandria, functional PBE.

Cell lengths 11.839, 11.839, 5.609 Å; angles 90.00, 90.00, 90.00 degrees
Space group I4/mmm (No. 139)
One atom of each set of equivalent atoms:
Ac1 0.000 0.330 0.000 [8 per cell]
Ac2 0.164 0.164 0.500 [8 per cell]
Y1 0.000 0.000 0.000 [2 per cell]

Summary:
Mass density (g/cm3): 8.0
ΔE_f (kcal/mol of atoms): 0.626
Total moment (μB per cell): 0.00


Record 10
A geometry-optimized Pm4Nd8Tm3 structure. Source: Alexandria, functional PBE.

Cell lengths 14.001, 12.298, 6.886 Å; angles 90.00, 118.98, 90.00 degrees
Space group C2/m (No. 12)
One atom of each set of equivalent atoms:
Pm1 0.000 0.000 0.000 [2 per cell]
Pm2 0.000 0.000 0.500 [2 per cell]
Pm3 0.250 0.250 0.000 [4 per cell]
Nd1 0.000 0.248 0.500 [4 per cell]
Nd2 0.000 0.299 0.000 [4 per cell]
Nd3 0.201 0.500 0.172 [4 per cell]
Nd4 0.247 0.000 0.291 [4 per cell]
Tm1 0.000 0.500 0.500 [2 per cell]
Tm2 0.250 0.250 0.500 [4 per cell]

Summary:
Mass density (g/cm3): 7.2
ΔE_f (kcal/mol of atoms): 7.380
Total moment (μB per cell): 0.67
Energy above the lowest structure with this stoichiometry (kJ per mole of atoms): 18.8


Record 11
A geometry-optimized CsAu structure. Source: Alexandria, functional PBE.

Cell lengths 12.247, 12.247, 5.504 Å; angles 90.00, 90.00, 90.00 degrees
Space group I4/m (No. 87)
One atom of each set of equivalent atoms:
Cs1 0.097 0.250 0.000 [8 per cell]
Au1 0.068 0.837 0.500 [8 per cell]

Summary:
Mass density (g/cm3): 5.3
ΔE_f (kcal/mol of atoms): -5.562
Total moment (μB per cell): 0.00
Energy above the lowest structure with this stoichiometry (kJ per mole of atoms): 9.0


Record 12
A geometry-optimized Ta4MnPt structure. Source: Alexandria, functional PBE.

Cell lengths 7.587, 7.587, 7.587 Å; angles 90.00, 90.00, 90.00 degrees
Space group F-43m (No. 216)
One atom of each set of equivalent atoms:
Ta1 0.124 0.124 0.124 [16 per cell]
Mn1 0.250 0.250 0.750 [4 per cell]
Pt1 0.000 0.000 0.500 [4 per cell]

Summary:
Mass density (g/cm3): 14.8
ΔE_f (kcal/mol of atoms): 7.715
Total moment (μB per cell): 13.48


Record 13
A geometry-optimized Te4RuPt structure. Source: Alexandria, functional PBE.

Cell lengths 5.504, 3.985, 6.924 Å; angles 90.00, 90.41, 90.00 degrees
Space group P2/m (No. 10)
One atom of each set of equivalent atoms:
Te1 0.245 0.000 0.155 [2 per cell]
Te2 0.249 0.500 0.672 [2 per cell]
Ru1 0.500 0.500 0.000 [1 per cell]
Pt1 0.500 0.000 0.500 [1 per cell]

Summary:
Mass density (g/cm3): 8.8
E_form (uncorrected) (meV/atom): -267
Total moment (μB per cell): 0.00
Energy above the lowest structure with this stoichiometry (kJ per mole of atoms): 0.0


Record 14
A geometry-optimized LaY4Te6 structure. Source: Alexandria, functional PBE.

Cell lengths 4.347, 14.312, 22.306 Å; angles 90.00, 90.00, 90.00 degrees
Space group Cmcm (No. 63)
One atom of each set of equivalent atoms:
La1 0.000 0.155 0.250 [4 per cell]
Y1 0.000 0.091 0.624 [8 per cell]
Y2 0.000 0.355 0.535 [8 per cell]
Te1 0.000 0.000 0.000 [4 per cell]
Te2 0.000 0.179 0.750 [4 per cell]
Te3 0.000 0.265 0.094 [8 per cell]
Te4 0.000 0.450 0.662 [8 per cell]

Summary:
Mass density (g/cm3): 6.0
E_form (uncorrected) (meV/atom): -1434
Total moment (μB per cell): 0.00


Record 15
A geometry-optimized SiSnP structure. Source: Alexandria, functional PBE.

Cell lengths 3.417, 6.759, 6.929 Å; angles 104.45, 103.27, 103.85 degrees
Space group P1 (No. 1)
One atom of each set of equivalent atoms:
Si1 0.000 0.000 0.000 [1 per cell]
Si2 0.135 0.496 0.748 [1 per cell]
Sn1 0.169 0.924 0.381 [1 per cell]
Sn2 0.260 0.433 0.135 [1 per cell]
P1 0.331 0.856 0.784 [1 per cell]
P2 0.470 0.360 0.532 [1 per cell]

Summary:
Mass density (g/cm3): 4.1
E_form (uncorrected) (meV/atom): 81
Total moment (μB per cell): 0.00
Energy above the lowest structure with this stoichiometry (kJ per mole of atoms): 11.4


Record 16
A geometry-optimized EuPuMgHg structure. Source: Alexandria, functional PBE.

Cell lengths 7.730, 7.730, 7.730 Å; angles 90.00, 90.00, 90.00 degrees
Space group F-43m (No. 216)
One atom of each set of equivalent atoms:
Eu1 0.000 0.000 0.000 [4 per cell]
Pu1 0.000 0.000 0.500 [4 per cell]
Mg1 0.250 0.250 0.250 [4 per cell]
Hg1 0.250 0.250 0.750 [4 per cell]

Summary:
Mass density (g/cm3): 8.9
ΔE_f (kcal/mol of atoms): -0.927
Total moment (μB per cell): 4.34


Record 17
A geometry-optimized ErTmGaNi structure. Source: Alexandria, functional PBE.

Cell lengths 6.892, 6.892, 6.892 Å; angles 90.00, 90.00, 90.00 degrees
Space group F-43m (No. 216)
One atom of each set of equivalent atoms:
Er1 0.000 0.000 0.000 [4 per cell]
Tm1 0.000 0.000 0.500 [4 per cell]
Ga1 0.250 0.250 0.750 [4 per cell]
Ni1 0.250 0.250 0.250 [4 per cell]

Summary:
Mass density (g/cm3): 9.4
ΔE_f (kcal/mol of atoms): -11.075
Total moment (μB per cell): 0.00
Energy above the lowest structure with this stoichiometry (kJ per mole of atoms): 4.0